[1]
6
Lattice="-1.024 2.227 2.998 -0.329 -3.851 0.246 8.032 -0.488 3.106" Properties=species:S:1:pos:R:3 comment="NaNiCl, relaxed, DFT GGA-PBE" sg="P6_3/mmc, No. 194" formation_energy_uncorrected_ev_per_fu=-0.8 volume_a3_per_atom=18.7 de_polymorph_mev_per_atom=357 magmom_total_mub_per_cell=0.00 pbc="T T T"
Na 4.016 -0.244 1.553
Cl 5.463 -2.191 3.493
Ni 5.231 -0.165 4.411
Ni 1.447 -1.947 1.940
Cl 1.215 0.079 2.858
Na 0.000 0.000 0.000

[2]
6
Lattice="-3.188 0.504 -2.508 0.830 -4.000 0.294 -6.288 0.692 5.192" Properties=species:S:1:pos:R:3 comment="NaNiCl, relaxed, DFT GGA-PBE" sg="P1, No. 1" formation_energy_uncorrected_ev_per_fu=-1.4 volume_a3_per_atom=20.9 de_polymorph_mev_per_atom=127 magmom_total_mub_per_cell=0.00 pbc="T T T"
Ni -5.503 -0.144 4.118
Cl -7.659 -1.520 1.871
Na -2.153 -1.215 -0.563
Cl -1.730 -2.717 1.767
Ni -6.270 -2.355 3.297
Na -5.319 0.071 1.101

[3]
6
Lattice="9.532 -0.064 0.021 0.774 3.695 0.001 0.395 1.849 3.564" Properties=species:S:1:pos:R:3 comment="NaNiCl, relaxed, DFT GGA-PBE" sg="P1, No. 1" formation_energy_uncorrected_ev_per_fu=-1.7 volume_a3_per_atom=20.9 de_polymorph_mev_per_atom=55 magmom_total_mub_per_cell=1.87 pbc="T T T"
Cl 5.640 3.292 0.705
Cl 2.074 2.113 1.819
Ni 8.062 4.724 3.094
Na 9.514 0.560 0.631
Na 4.048 3.628 3.046
Ni 7.681 2.876 1.834

What did the first record say?
6
Lattice="-1.024 2.227 2.998 -0.329 -3.851 0.246 8.032 -0.488 3.106" Properties=species:S:1:pos:R:3 comment="NaNiCl, relaxed, DFT GGA-PBE" sg="P6_3/mmc, No. 194" formation_energy_uncorrected_ev_per_fu=-0.8 volume_a3_per_atom=18.7 de_polymorph_mev_per_atom=357 magmom_total_mub_per_cell=0.00 pbc="T T T"
Na 4.016 -0.244 1.553
Cl 5.463 -2.191 3.493
Ni 5.231 -0.165 4.411
Ni 1.447 -1.947 1.940
Cl 1.215 0.079 2.858
Na 0.000 0.000 0.000